# 1
Compound: ErSc2Au4
Source: Alexandria via LeMat-Bulk
Functional: PBE
Structure: optimized geometry

abc: 5.889 5.889 5.889
angles: 112.75 107.85 107.85
Fractional positions:
Er1 0.000 0.000 0.000
Sc1 0.500 0.500 0.000
Sc2 0.500 0.000 0.500
Au1 0.500 0.000 0.000
Au2 0.500 0.500 0.500
Au3 0.000 0.000 0.500
Au4 0.000 0.500 0.000

space-group type	I4/mmm, No. 139
formation energy from the elements	-635	meV per atom

# 2
Compound: RbPmGa2I6
Source: Alexandria via LeMat-Bulk
Functional: PBE
Structure: optimized geometry

abc: 8.369 8.370 9.042
angles: 62.41 62.42 59.99
Fractional positions:
Rb1 0.812 0.812 0.563
Pm1 0.326 0.326 0.022
Ga1 0.511 0.511 0.466
Ga2 0.003 0.003 0.991
I1 0.574 0.251 0.233
I2 0.251 0.941 0.233
I3 0.941 0.574 0.233
I4 0.360 0.727 0.758
I5 0.727 0.156 0.758
I6 0.156 0.360 0.758

raw formation energy	-1000	meV per atom
space-group type	R3, No. 146

# 3
Compound: ScHgRu
Source: Alexandria via LeMat-Bulk
Functional: PBE
Structure: optimized geometry

abc: 4.475 4.475 4.475
angles: 60.00 60.00 60.00
Fractional positions:
Hg1 0.000 0.000 0.000
Ru1 0.500 0.500 0.500
Sc1 0.750 0.750 0.750

space-group type	F-43m, No. 216
relative energy among the computed polymorphs	1.77	eV per formula unit
formation energy from the elements	361	meV per atom

# 4
Compound: MnBiSe2
Source: Alexandria via LeMat-Bulk
Functional: PBE
Structure: optimized geometry

abc: 13.442 6.440 6.440
angles: 81.75 127.63 52.37
Fractional positions:
Mn1 0.196 0.639 0.653
Mn2 0.696 0.847 0.861
Bi1 0.308 0.104 0.352
Bi2 0.808 0.148 0.396
Se1 0.115 0.418 0.478
Se2 0.615 0.022 0.082
Se3 0.398 0.493 0.221
Se4 0.898 0.279 0.007

raw formation energy	-37	meV per atom
space-group type	Cc, No. 9